Crystalline Hg3TeCl5 at its relaxed geometry. Source: Alexandria, functional PBE.

Cell lengths 7.773, 8.655, 10.555 Å; angles 89.61, 75.62, 77.05 degrees
Fractional positions:
Hg  0.000  0.000  0.000
Hg  0.000  0.500  0.500
Hg  0.312  0.471  0.161
Hg  0.365  0.028  0.690
Hg  0.635  0.972  0.310
Hg  0.688  0.529  0.839
Te  0.009  0.604  0.740
Te  0.991  0.396  0.260
Cl  0.031  0.254  0.931
Cl  0.039  0.925  0.700
Cl  0.362  0.211  0.523
Cl  0.432  0.882  0.869
Cl  0.433  0.405  0.873
Cl  0.567  0.595  0.127
Cl  0.568  0.118  0.131
Cl  0.638  0.789  0.477
Cl  0.961  0.075  0.300
Cl  0.969  0.746  0.069

- Formation energy without anion corrections: -3.9 eV/f.u.
- Calculated volume: 669.5 Å³/cell
- DOS(E_F): 0.0851 states/eV per atom
- Uncorrected energy: -1.9103 eV/atom

=====

Crystalline HgTeCl at its relaxed geometry. Source: Alexandria, functional PBE.

Cell lengths 3.819, 3.819, 7.244 Å; angles 90.00, 90.00, 120.00 degrees
Fractional positions:
Hg  0.000  0.000  0.000
Te  0.667  0.333  0.277
Cl  0.333  0.667  0.770

- Formation energy without anion corrections: -0.4 eV/f.u.
- Calculated volume: 91.5 Å³/cell
- Energy relative to the lowest polymorph listed for this composition: 260 meV/atom
- DOS(E_F): 0.4527 states/eV per atom
- Uncorrected energy: -1.8829 eV/atom

=====

Crystalline Hg2TeCl at its relaxed geometry. Source: Alexandria, functional PBE.

Cell lengths 3.341, 3.341, 9.652 Å; angles 90.00, 90.00, 90.00 degrees
Fractional positions:
Hg  0.000  0.000  0.000
Hg  0.500  0.500  0.222
Te  0.000  0.000  0.483
Cl  0.500  0.500  0.825

- Formation energy without anion corrections: 0.2 eV/f.u.
- Calculated volume: 107.7 Å³/cell
- Energy relative to the lowest polymorph listed for this composition: 306 meV/atom
- DOS(E_F): 0.6035 states/eV per atom
- Uncorrected energy: -1.3562 eV/atom

=====

Crystalline Hg2TeCl at its relaxed geometry. Source: Alexandria, functional PBE.

Cell lengths 7.428, 7.428, 7.428 Å; angles 90.00, 90.00, 90.00 degrees
Fractional positions:
Hg  0.250  0.250  0.250
Hg  0.250  0.250  0.750
Hg  0.250  0.750  0.250
Hg  0.250  0.750  0.750
Hg  0.750  0.250  0.250
Hg  0.750  0.250  0.750
Hg  0.750  0.750  0.250
Hg  0.750  0.750  0.750
Te  0.000  0.000  0.000
Te  0.000  0.500  0.500
Te  0.500  0.000  0.500
Te  0.500  0.500  0.000
Cl  0.000  0.000  0.500
Cl  0.000  0.500  0.000
Cl  0.500  0.000  0.000
Cl  0.500  0.500  0.500

- Formation energy without anion corrections: -0.1 eV/f.u.
- Calculated volume: 409.8 Å³/cell
- Energy relative to the lowest polymorph listed for this composition: 229 meV/atom
- DOS(E_F): 0.4963 states/eV per atom
- Uncorrected energy: -1.4334 eV/atom

=====

Crystalline HgTe2Cl at its relaxed geometry. Source: Alexandria, functional PBE.

Cell lengths 12.185, 3.765, 5.316 Å; angles 90.00, 96.09, 90.00 degrees
Fractional positions:
Hg  0.000  0.000  0.000
Hg  0.500  0.500  0.000
Te  0.191  0.500  0.152
Te  0.309  0.000  0.848
Te  0.691  0.000  0.152
Te  0.809  0.500  0.848
Cl  0.000  0.500  0.500
Cl  0.500  0.000  0.500

- Formation energy without anion corrections: -0.3 eV/f.u.
- Calculated volume: 242.5 Å³/cell
- Energy relative to the lowest polymorph listed for this composition: 66 meV/atom
- DOS(E_F): 0.3469 states/eV per atom
- Uncorrected energy: -2.1799 eV/atom

=====

Crystalline HgTeCl at its relaxed geometry. Source: Alexandria, functional PBE.

Cell lengths 4.660, 6.335, 7.442 Å; angles 79.55, 89.74, 73.41 degrees
Fractional positions:
Hg  0.074  0.334  0.296
Hg  0.926  0.666  0.704
Te  0.404  0.723  0.902
Te  0.596  0.277  0.098
Cl  0.108  0.220  0.650
Cl  0.892  0.780  0.350

- Formation energy without anion corrections: -1.1 eV/f.u.
- Calculated volume: 206.8 Å³/cell
- Energy relative to the lowest polymorph listed for this composition: 0 meV/atom
- Uncorrected energy: -2.1426 eV/atom

=====

Crystalline HgTe3Cl at its relaxed geometry. Source: Alexandria, functional PBE.

Cell lengths 5.629, 5.629, 5.629 Å; angles 90.00, 90.00, 90.00 degrees
Fractional positions:
Hg  0.000  0.000  0.000
Te  0.000  0.000  0.500
Te  0.000  0.500  0.000
Te  0.500  0.000  0.000
Cl  0.500  0.500  0.500

- Formation energy without anion corrections: 3.1 eV/f.u.
- Calculated volume: 178.4 Å³/cell
- Energy relative to the lowest polymorph listed for this composition: 0 meV/atom
- DOS(E_F): 1.2184 states/eV per atom
- Uncorrected energy: -1.6927 eV/atom

=====

Crystalline HgTeCl at its relaxed geometry. Source: Alexandria, functional PBE.

Cell lengths 12.007, 12.007, 12.007 Å; angles 138.51, 57.60, 141.88 degrees
Fractional positions:
Hg  0.000  0.000  0.000
Hg  0.000  0.500  0.500
Hg  0.410  0.015  0.464
Hg  0.410  0.446  0.895
Hg  0.552  0.515  0.105
Hg  0.552  0.946  0.536
Te  0.261  0.515  0.246
Te  0.270  0.015  0.754
Te  0.443  0.129  0.314
Te  0.443  0.630  0.814
Te  0.816  0.130  0.686
Te  0.816  0.629  0.186
Cl  0.234  0.686  0.048
Cl  0.638  0.186  0.952
Cl  0.650  0.569  0.581
Cl  0.758  0.014  0.244
Cl  0.770  0.514  0.756
Cl  0.988  0.069  0.419

- Formation energy without anion corrections: -0.5 eV/f.u.
- Calculated volume: 702.0 Å³/cell
- Energy relative to the lowest polymorph listed for this composition: 201 meV/atom
- DOS(E_F): 0.1250 states/eV per atom
- Uncorrected energy: -1.9419 eV/atom